[1]
This record from Alexandria via LeMat-Bulk describes a relaxed structure of BaLi2H2. The functional is PBE.

## Properties
As for the energy above the most stable polymorph in this dataset: 342 meV/atom.

Lattice parameters (Å, degrees): 7.137 7.137 3.325 90.00 90.00 90.00
Atoms (fractional coordinates):
Li (0.391, 0.109, 0.500)
H (0.625, 0.125, 0.000)
H (0.375, 0.875, 0.000)
Ba (0.500, 0.500, 0.000)
H (0.125, 0.375, 0.000)
Li (0.109, 0.609, 0.500)
Ba (0.000, 0.000, 0.000)
Li (0.891, 0.391, 0.500)
Li (0.609, 0.891, 0.500)
H (0.875, 0.625, 0.000)



[2]
This record from Alexandria via LeMat-Bulk describes a relaxed structure of FeAg2Os. The functional is PBE.

## Properties
As for the energy above the most stable polymorph in this dataset: 292 meV/atom.

Lattice parameters (Å, degrees): 2.695 2.695 9.770 90.00 90.00 117.86
Atoms (fractional coordinates):
Ag (0.000, 0.000, 0.491)
Ag (0.000, 0.000, 0.009)
Os (0.500, 0.500, 0.750)
Fe (0.500, 0.500, 0.250)



[3]
This record from Alexandria via LeMat-Bulk describes a relaxed structure of ScNbZn2. The functional is PBE.

## Properties
As for the energy above the most stable polymorph in this dataset: 37 meV/atom.

Lattice parameters (Å, degrees): 4.602 4.602 4.602 60.00 60.00 60.00
Atoms (fractional coordinates):
Zn (0.250, 0.250, 0.250)
Nb (0.500, 0.500, 0.500)
Zn (0.750, 0.750, 0.750)
Sc (0.000, 0.000, 0.000)



[4]
This record from Alexandria via LeMat-Bulk describes a relaxed structure of BaIn2Fe. The functional is PBE.

## Properties
The calculation puts the raw total energy at -14.06 eV/cell.

Lattice parameters (Å, degrees): 6.172 6.172 3.311 90.00 90.00 118.76
Atoms (fractional coordinates):
In (0.500, 0.500, 0.000)
Ba (0.500, 0.000, 0.500)
In (0.000, 0.000, 0.000)
Fe (0.000, 0.500, 0.500)



[5]
This record from Alexandria via LeMat-Bulk describes a relaxed structure of Pm2TlGa2Rh5. The functional is PBE.

## Properties
The calculation puts the raw total energy at -122.48 eV/cell.

Lattice parameters (Å, degrees): 3.670 9.943 9.943 90.00 90.00 90.00
Atoms (fractional coordinates):
Pm (0.000, 0.324, 0.824)
Rh (0.500, 0.000, 0.500)
Rh (0.500, 0.931, 0.212)
Pm (0.000, 0.176, 0.324)
Rh (0.500, 0.500, 0.000)
Ga (0.000, 0.121, 0.621)
Ga (0.000, 0.879, 0.379)
Ga (0.000, 0.621, 0.879)
Rh (0.500, 0.431, 0.288)
Rh (0.500, 0.569, 0.712)
Pm (0.000, 0.824, 0.676)
Rh (0.500, 0.788, 0.931)
Pm (0.000, 0.676, 0.176)
Ga (0.000, 0.379, 0.121)
Rh (0.500, 0.288, 0.569)
Rh (0.500, 0.069, 0.788)
Rh (0.500, 0.212, 0.069)
Tl (0.000, 0.000, 0.000)
Rh (0.500, 0.712, 0.431)
Tl (0.000, 0.500, 0.500)



[6]
This record from Alexandria via LeMat-Bulk describes a relaxed structure of HoGeRh2. The functional is PBE.

## Properties
The calculation puts the raw total energy at -26.45 eV/cell.

Lattice parameters (Å, degrees): 3.332 3.332 6.138 90.00 90.00 90.00
Atoms (fractional coordinates):
Ge (0.500, 0.500, 0.000)
Rh (0.000, 0.000, 0.777)
Ho (0.500, 0.500, 0.500)
Rh (0.000, 0.000, 0.223)